Crystalline Mg4MnSe5 at its relaxed geometry, computed with PBE-GGA.

The total energy is -4.362 eV/atom.

The space group is C2/m (No. 12) and the conventional cell measures 12.8906, 3.8875 and 9.5192 Å, with angles of 90.00, 119.48 and 90.00 degrees. The asymmetric unit holds Mg at (0.1001, 0.0000, 0.3997), Mg at (0.2002, 0.5000, 0.8005), Mn at (0.0000, 0.5000, 0.0000), Se at (0.0000, 0.5000, 0.5000), Se at (0.0988, 0.0000, 0.9013) and Se at (0.1992, 0.5000, 0.2984).

Crystalline Tb12Er7Tm at its relaxed geometry, computed with PBE-GGA.

The density of states at the Fermi level comes out at 56.5 states/eV per cell. The energy of formation is 573 kJ/mol of formula units.

The space group is R-3 (No. 148, hexagonal axes) and the conventional cell measures 12.7265, 12.7265 and 13.6484 Å, with angles of 90.00, 90.00 and 120.00 degrees. The asymmetric unit holds Tb at (0.0013, 0.5648, 0.2491), Tb at (0.0684, 0.1997, 0.8474), Er at (0.0000, 0.0000, 0.0000), Er at (0.0684, 0.8695, 0.3477) and Tm at (0.0000, 0.0000, 0.5000).

Crystalline Ho2H7Rh2 at its relaxed geometry, computed with PBE-GGA.

The density of states at the Fermi level comes out at 9.4 states/eV per cell. The total energy is -4.689 eV/atom.

The space group is Cmmm (No. 65) and the conventional cell measures 6.5605, 7.0693 and 4.4089 Å, with angles of 90.00, 90.00 and 90.00 degrees. The asymmetric unit holds Ho at (0.2384, 0.0000, 0.0000), H at (0.0000, 0.0000, 0.5000), H at (0.0000, 0.5000, 0.2842), H at (0.2500, 0.2500, 0.2964) and Rh at (0.0000, 0.2611, 0.5000).

Crystalline Ce3MgRu at its relaxed geometry, computed with PBE-GGA.

The density of states at the Fermi level comes out at 20.3 states/eV per cell. The energy of formation is -69 kJ/mol of formula units. The calculation puts the energy above the lowest structure with this stoichiometry at 0 kJ/mol of formula units.

The space group is P2_1/m (No. 11) and the conventional cell measures 7.9886, 3.5203 and 8.7175 Å, with angles of 90.00, 94.89 and 90.00 degrees. The asymmetric unit holds Ce at (0.1073, 0.2500, 0.1625), Ce at (0.1549, 0.7500, 0.5162), Ce at (0.3516, 0.7500, 0.9552), Mg at (0.4990, 0.7500, 0.3338) and Ru at (0.1484, 0.2500, 0.7653).

Crystalline DyZrCoRh at its relaxed geometry, computed with PBE-GGA.

The density of states at the Fermi level comes out at 10.5 states/eV per cell. The energy of formation is -180 kJ/mol of formula units.

The space group is F-43m (No. 216) and the conventional cell measures 6.6273, 6.6273 and 6.6273 Å, with angles of 90.00, 90.00 and 90.00 degrees. The asymmetric unit holds Dy at (0.0000, 0.0000, 0.0000), Zr at (0.0000, 0.0000, 0.5000), Co at (0.2500, 0.2500, 0.7500) and Rh at (0.2500, 0.2500, 0.2500).

Crystalline BaGdZnAu at its relaxed geometry, computed with PBE-GGA.

The density of states at the Fermi level comes out at 20.5 states/eV per cell. The energy of formation is -135 kJ/mol of formula units.

The space group is F-43m (No. 216) and the conventional cell measures 7.6818, 7.6818 and 7.6818 Å, with angles of 90.00, 90.00 and 90.00 degrees. The asymmetric unit holds Ba at (0.0000, 0.0000, 0.0000), Gd at (0.0000, 0.0000, 0.5000), Zn at (0.2500, 0.2500, 0.7500) and Au at (0.2500, 0.2500, 0.2500).

Crystalline PrErNiOs at its relaxed geometry, computed with PBE-GGA.

The density of states at the Fermi level comes out at 10.6 states/eV per cell. The energy of formation is -59 kJ/mol of formula units.

The space group is F-43m (No. 216) and the conventional cell measures 6.9097, 6.9097 and 6.9097 Å, with angles of 90.00, 90.00 and 90.00 degrees. The asymmetric unit holds Pr at (0.0000, 0.0000, 0.0000), Er at (0.0000, 0.0000, 0.5000), Ni at (0.2500, 0.2500, 0.7500) and Os at (0.2500, 0.2500, 0.2500).

Crystalline Cs2InI4 at its relaxed geometry, computed with PBE-GGA.

The density of states at the Fermi level comes out at 9.9 states/eV per cell. The calculation puts the energy above the lowest structure with this stoichiometry at 34 kJ/mol of formula units.

The space group is P2_1/m (No. 11) and the conventional cell measures 8.8083, 8.4741 and 10.9771 Å, with angles of 90.00, 108.61 and 90.00 degrees. The asymmetric unit holds Cs at (0.2343, 0.2500, 0.0625), Cs at (0.2638, 0.2500, 0.5633), In at (0.2259, 0.7500, 0.8037), I at (0.0046, 0.5169, 0.2573), I at (0.4089, 0.7500, 0.6134) and I at (0.4101, 0.7500, 0.0880).

no.,M_tot (Bohr magnetons per cell)
1,10.00
2,0.00
3,0.00
4,0.03
5,0.02
6,29.32
7,0.00
8,0.01